1.
Density functional theory data (GGA-PBE) for crystalline Y2SiSb2 at its relaxed geometry.

Cell and atoms, written as POSCAR:
```
Y2SiSb2
1.0
7.906 0.000 0.000
0.000 7.906 0.000
0.000 0.000 4.239
Y Si Sb
4 2 4
Direct
0.157 0.343 0.000
0.343 0.843 0.000
0.657 0.157 0.000
0.843 0.657 0.000
0.000 0.000 0.500
0.500 0.500 0.500
0.152 0.652 0.500
0.348 0.152 0.500
0.652 0.848 0.500
0.848 0.348 0.500
```

Results
- calculated volume (A^3/atom) = 26.5
- uncorrected energy (eV per atom) = -5.8381
- N(E_F) (states/eV per cell) = 2.787
- formation energy from raw total energies (eV per atom) = -0.519
- space-group type = P4/mbm, No. 127
- calculated density (kg/m³) = 5634
- magnetic moment (Bohr magnetons per cell) = 0.00

***

2.
Density functional theory data (GGA-PBE) for crystalline AcCe2Mg2Pb2 at its relaxed geometry.

Cell and atoms, written as POSCAR:
```
AcCe2Mg2Pb2
1.0
2.451 1.415 9.959
-2.451 1.415 9.959
0.000 -2.830 9.959
Ac Ce Mg Pb
1 2 2 2
Direct
0.000 0.000 0.000
0.150 0.150 0.150
0.850 0.850 0.850
0.426 0.426 0.426
0.574 0.574 0.574
0.264 0.264 0.264
0.736 0.736 0.736
```

Results
- calculated volume (A^3/atom) = 29.6
- uncorrected energy (eV per atom) = -3.9866
- N(E_F) (states/eV per cell) = 12.803
- space-group type = R-3m, No. 166
- calculated density (kg/m³) = 7772
- magnetic moment (Bohr magnetons per cell) = 3.33
- energy of formation from the pure elements (meV per atom) = -189

***

3.
Density functional theory data (GGA-PBE) for crystalline Mg2VAsRu at its relaxed geometry.

Cell and atoms, written as POSCAR:
```
Mg2VAsRu
1.0
4.735 0.000 0.000
0.000 4.735 0.000
0.000 0.000 4.547
Mg V As Ru
2 1 1 1
Direct
0.000 0.500 0.000
0.500 0.000 0.000
0.000 0.000 0.500
0.000 0.000 0.000
0.500 0.500 0.500
```

Results
- calculated volume (A^3/atom) = 20.4
- uncorrected energy (eV per atom) = -4.4058
- N(E_F) (states/eV per cell) = 7.779
- space-group type = P4/mmm, No. 123
- calculated density (kg/m³) = 4489
- magnetic moment (Bohr magnetons per cell) = 0.03
- energy of formation from the pure elements (meV per atom) = 841

***

4.
Density functional theory data (GGA-PBE) for crystalline AlPtSeN2 at its relaxed geometry.

Cell and atoms, written as POSCAR:
```
AlPtSeN2
1.0
3.735 0.000 0.000
0.000 3.735 0.000
0.000 0.000 8.419
Al Pt Se N
1 1 1 2
Direct
0.000 0.000 0.000
0.500 0.500 0.500
0.500 0.500 0.000
0.000 0.500 0.500
0.500 0.000 0.500
```

Results
- calculated volume (A^3/atom) = 23.5
- uncorrected energy (eV per atom) = -5.0738
- N(E_F) (states/eV per cell) = 1.740
- formation energy from raw total energies (eV per atom) = 0.910
- space-group type = P4/mmm, No. 123
- calculated density (kg/m³) = 4653
- magnetic moment (Bohr magnetons per cell) = 0.00

***

5.
Density functional theory data (GGA-PBE) for crystalline CuOsRu2 at its relaxed geometry.

Cell and atoms, written as POSCAR:
```
CuOsRu2
1.0
1.356 0.783 8.710
-1.356 0.783 8.710
0.000 -1.565 8.710
Cu Os Ru
1 1 2
Direct
0.000 0.000 0.000
0.500 0.500 0.500
0.249 0.249 0.249
0.751 0.751 0.751
```

Results
- calculated volume (A^3/atom) = 13.9
- uncorrected energy (eV per atom) = -8.2761
- N(E_F) (states/eV per cell) = 3.403
- space-group type = R-3m, No. 166
- calculated density (kg/m³) = 13653
- magnetic moment (Bohr magnetons per cell) = 0.00
- energy of formation from the pure elements (meV per atom) = 193

***

6.
Density functional theory data (GGA-PBE) for crystalline LaTe2F at its relaxed geometry.

Cell and atoms, written as POSCAR:
```
LaTe2F
1.0
2.435 1.406 7.707
-2.435 1.406 7.707
0.000 -2.812 7.707
La Te F
1 2 1
Direct
0.000 0.000 0.000
0.402 0.402 0.402
0.598 0.598 0.598
0.500 0.500 0.500
```

Results
- calculated volume (A^3/atom) = 39.6
- uncorrected energy (eV per atom) = -4.5105
- N(E_F) (states/eV per cell) = 0.031
- formation energy from raw total energies (eV per atom) = -1.240
- space-group type = R-3m, No. 166
- calculated density (kg/m³) = 4333
- magnetic moment (Bohr magnetons per cell) = 0.00

***

7.
Density functional theory data (GGA-PBE) for crystalline La7GeBi2N2 at its relaxed geometry.

Cell and atoms, written as POSCAR:
```
La7GeBi2N2
1.0
-2.513 2.513 13.430
2.513 -2.513 13.430
2.513 2.513 -13.430
La Ge Bi N
7 1 2 2
Direct
0.000 0.000 0.000
0.087 0.587 0.500
0.190 0.190 0.000
0.413 0.913 0.500
0.587 0.087 0.500
0.810 0.810 0.000
0.913 0.413 0.500
0.500 0.500 0.000
0.319 0.319 0.000
0.681 0.681 0.000
0.099 0.099 0.000
0.901 0.901 0.000
```

Results
- calculated volume (A^3/atom) = 28.3
- uncorrected energy (eV per atom) = -6.2884
- N(E_F) (states/eV per cell) = 6.266
- formation energy from raw total energies (eV per atom) = -0.995
- space-group type = I4/mmm, No. 139
- calculated density (kg/m³) = 7299
- magnetic moment (Bohr magnetons per cell) = 0.00

***

8.
Density functional theory data (GGA-PBE) for crystalline Sr2CeNpO6 at its relaxed geometry.

Cell and atoms, written as POSCAR:
```
Sr2CeNpO6
1.0
6.036 0.000 0.000
0.000 6.192 0.000
-6.024 0.000 8.634
Sr Ce Np O
4 2 2 12
Direct
0.238 0.045 0.251
0.238 0.455 0.751
0.762 0.545 0.249
0.762 0.955 0.749
0.500 0.000 0.000
0.500 0.500 0.500
0.000 0.000 0.500
0.000 0.500 0.000
0.137 0.210 0.940
0.137 0.290 0.440
0.236 0.697 0.946
0.236 0.803 0.446
0.348 0.044 0.743
0.348 0.456 0.243
0.652 0.544 0.757
0.652 0.956 0.257
0.764 0.197 0.554
0.764 0.303 0.054
0.863 0.710 0.560
0.863 0.790 0.060
```

Results
- calculated volume (A^3/atom) = 16.1
- uncorrected energy (eV per atom) = -8.3060
- N(E_F) (states/eV per cell) = 25.141
- formation energy from raw total energies (eV per atom) = -3.107
- space-group type = P2_1/c, No. 14
- calculated density (kg/m³) = 6673
- magnetic moment (Bohr magnetons per cell) = 6.00

***

9.
Density functional theory data (GGA-PBE) for crystalline TiBeVRu2 at its relaxed geometry.

Cell and atoms, written as POSCAR:
```
TiBeVRu2
1.0
4.389 0.000 0.000
0.000 4.389 0.000
0.000 0.000 4.189
Ti Be V Ru
1 1 1 2
Direct
0.000 0.000 0.000
0.500 0.500 0.000
0.500 0.500 0.500
0.000 0.500 0.500
0.500 0.000 0.500
```

Results
- calculated volume (A^3/atom) = 16.1
- uncorrected energy (eV per atom) = -7.0273
- N(E_F) (states/eV per cell) = 5.172
- space-group type = P4/mmm, No. 123
- calculated density (kg/m³) = 6377
- magnetic moment (Bohr magnetons per cell) = 0.00
- energy of formation from the pure elements (meV per atom) = 831

***

10.
Density functional theory data (GGA-PBE) for crystalline CaPmPr5Sm2 at its relaxed geometry.

Cell and atoms, written as POSCAR:
```
CaPmPr5Sm2
1.0
2.782 -11.205 0.000
2.782 11.205 0.000
0.000 0.000 10.595
Ca Pm Pr Sm
2 2 10 4
Direct
0.101 0.899 0.500
0.899 0.101 0.000
0.279 0.721 0.001
0.721 0.279 0.501
0.000 0.000 0.250
0.000 0.000 0.750
0.117 0.883 0.000
0.221 0.779 0.307
0.221 0.779 0.694
0.498 0.502 0.500
0.502 0.498 0.000
0.779 0.221 0.194
0.779 0.221 0.807
0.883 0.117 0.500
0.384 0.616 0.262
0.384 0.616 0.738
0.616 0.384 0.238
0.616 0.384 0.762
```

Results
- calculated volume (A^3/atom) = 36.7
- uncorrected energy (eV per atom) = -4.2991
- N(E_F) (states/eV per cell) = 26.906
- space-group type = Cmc2_1, No. 36
- calculated density (kg/m³) = 5984
- magnetic moment (Bohr magnetons per cell) = 0.00
- energy of formation from the pure elements (meV per atom) = 155